## P
DFT (PBE-GGA) results for a relaxed HfNiHgB crystal.

Properties
The calculation puts the magnetization at 0.000 μB per atom.

Cell and atoms, written as CIF:
```
data_HfNiHgB
_chemical_formula_sum 'Hf4 Ni4 Hg4 B4'
_cell_length_a 6.248
_cell_length_b 6.248
_cell_length_c 6.248
_cell_angle_alpha 90.00
_cell_angle_beta 90.00
_cell_angle_gamma 90.00
_symmetry_space_group_name_H-M 'P 1'
_symmetry_Int_Tables_number 1
loop_
_symmetry_equiv_pos_as_xyz
'x,y,z'
loop_
_atom_site_label
_atom_site_fract_x
_atom_site_fract_y
_atom_site_fract_z
_atom_site_occupancy
Hf1 0.000 0.000 0.000 1
Hf2 0.000 0.500 0.500 1
Hf3 0.500 0.000 0.500 1
Hf4 0.500 0.500 0.000 1
Ni1 0.250 0.250 0.750 1
Ni2 0.250 0.750 0.250 1
Ni3 0.750 0.250 0.250 1
Ni4 0.750 0.750 0.750 1
Hg1 0.250 0.250 0.250 1
Hg2 0.250 0.750 0.750 1
Hg3 0.750 0.250 0.750 1
Hg4 0.750 0.750 0.250 1
B1 0.000 0.000 0.500 1
B2 0.000 0.500 0.000 1
B3 0.500 0.000 0.000 1
B4 0.500 0.500 0.500 1
```

***

## Q
DFT (PBE-GGA) results for a relaxed HfNiHgB crystal.

Properties
The calculation puts the magnetization at 0.000 μB per atom.

Cell and atoms, written as CIF:
```
data_HfNiHgB
_chemical_formula_sum 'Hf4 Ni4 Hg4 B4'
_cell_length_a 6.147
_cell_length_b 6.147
_cell_length_c 6.147
_cell_angle_alpha 90.00
_cell_angle_beta 90.00
_cell_angle_gamma 90.00
_symmetry_space_group_name_H-M 'P 1'
_symmetry_Int_Tables_number 1
loop_
_symmetry_equiv_pos_as_xyz
'x,y,z'
loop_
_atom_site_label
_atom_site_fract_x
_atom_site_fract_y
_atom_site_fract_z
_atom_site_occupancy
Hf1 0.000 0.000 0.000 1
Hf2 0.000 0.500 0.500 1
Hf3 0.500 0.000 0.500 1
Hf4 0.500 0.500 0.000 1
Ni1 0.250 0.250 0.250 1
Ni2 0.250 0.750 0.750 1
Ni3 0.750 0.250 0.750 1
Ni4 0.750 0.750 0.250 1
Hg1 0.000 0.000 0.500 1
Hg2 0.000 0.500 0.000 1
Hg3 0.500 0.000 0.000 1
Hg4 0.500 0.500 0.500 1
B1 0.250 0.250 0.750 1
B2 0.250 0.750 0.250 1
B3 0.750 0.250 0.250 1
B4 0.750 0.750 0.750 1
```

***

## R
DFT (PBE-GGA) results for a relaxed HfNiHgB crystal.

Properties
The calculation puts the magnetization at 0.002 μB per atom.

Cell and atoms, written as CIF:
```
data_HfNiHgB
_chemical_formula_sum 'Hf4 Ni4 Hg4 B4'
_cell_length_a 6.216
_cell_length_b 6.216
_cell_length_c 6.216
_cell_angle_alpha 90.00
_cell_angle_beta 90.00
_cell_angle_gamma 90.00
_symmetry_space_group_name_H-M 'P 1'
_symmetry_Int_Tables_number 1
loop_
_symmetry_equiv_pos_as_xyz
'x,y,z'
loop_
_atom_site_label
_atom_site_fract_x
_atom_site_fract_y
_atom_site_fract_z
_atom_site_occupancy
Hf1 0.000 0.000 0.000 1
Hf2 0.000 0.500 0.500 1
Hf3 0.500 0.000 0.500 1
Hf4 0.500 0.500 0.000 1
Ni1 0.000 0.000 0.500 1
Ni2 0.000 0.500 0.000 1
Ni3 0.500 0.000 0.000 1
Ni4 0.500 0.500 0.500 1
Hg1 0.250 0.250 0.750 1
Hg2 0.250 0.750 0.250 1
Hg3 0.750 0.250 0.250 1
Hg4 0.750 0.750 0.750 1
B1 0.250 0.250 0.250 1
B2 0.250 0.750 0.750 1
B3 0.750 0.250 0.750 1
B4 0.750 0.750 0.250 1
```

***

Energies relative to the minimum, kJ/mol of atoms: P 33.2; Q 0.0; R 12.8

***

## P
DFT (PBE-GGA) results for a relaxed HfB4Ir crystal.

Properties
The calculation puts the magnetization at 0.000 μB per atom.

Cell and atoms, written as CIF:
```
data_HfB4Ir
_chemical_formula_sum 'Hf4 B16 Ir4'
_cell_length_a 5.906
_cell_length_b 11.420
_cell_length_c 3.434
_cell_angle_alpha 90.00
_cell_angle_beta 90.00
_cell_angle_gamma 90.00
_symmetry_space_group_name_H-M 'P 1'
_symmetry_Int_Tables_number 1
loop_
_symmetry_equiv_pos_as_xyz
'x,y,z'
loop_
_atom_site_label
_atom_site_fract_x
_atom_site_fract_y
_atom_site_fract_z
_atom_site_occupancy
Hf1 0.126 0.144 0.000 1
Hf2 0.374 0.644 0.000 1
Hf3 0.626 0.356 0.000 1
Hf4 0.874 0.856 0.000 1
B1 0.035 0.693 0.500 1
B2 0.119 0.547 0.500 1
B3 0.129 0.968 0.500 1
B4 0.194 0.814 0.500 1
B5 0.306 0.314 0.500 1
B6 0.371 0.468 0.500 1
B7 0.381 0.047 0.500 1
B8 0.465 0.193 0.500 1
B9 0.535 0.807 0.500 1
B10 0.619 0.953 0.500 1
B11 0.629 0.532 0.500 1
B12 0.694 0.686 0.500 1
B13 0.806 0.186 0.500 1
B14 0.871 0.032 0.500 1
B15 0.881 0.453 0.500 1
B16 0.965 0.307 0.500 1
Ir1 0.137 0.398 0.000 1
Ir2 0.363 0.898 0.000 1
Ir3 0.637 0.102 0.000 1
Ir4 0.863 0.602 0.000 1
```

***

## Q
DFT (PBE-GGA) results for a relaxed HfB4Ir crystal.

Properties
The calculation puts the magnetization at 0.000 μB per atom.

Cell and atoms, written as CIF:
```
data_HfB4Ir
_chemical_formula_sum 'Hf2 B8 Ir2'
_cell_length_a 3.095
_cell_length_b 5.208
_cell_length_c 7.153
_cell_angle_alpha 90.00
_cell_angle_beta 90.00
_cell_angle_gamma 90.00
_symmetry_space_group_name_H-M 'P 1'
_symmetry_Int_Tables_number 1
loop_
_symmetry_equiv_pos_as_xyz
'x,y,z'
loop_
_atom_site_label
_atom_site_fract_x
_atom_site_fract_y
_atom_site_fract_z
_atom_site_occupancy
Hf1 0.000 0.000 0.000 1
Hf2 0.500 0.500 0.500 1
B1 0.000 0.323 0.261 1
B2 0.000 0.323 0.739 1
B3 0.000 0.677 0.261 1
B4 0.000 0.677 0.739 1
B5 0.500 0.177 0.239 1
B6 0.500 0.177 0.761 1
B7 0.500 0.823 0.239 1
B8 0.500 0.823 0.761 1
Ir1 0.000 0.000 0.500 1
Ir2 0.500 0.500 0.000 1
```

***

Energies relative to the minimum, kJ/mol of atoms: P 0.0; Q 18.3

***

## P
DFT (PBE-GGA) results for a relaxed HfBIr crystal.

Properties
The calculation puts the magnetization at 0.003 μB per atom.

Cell and atoms, written as CIF:
```
data_HfBIr
_chemical_formula_sum 'Hf4 B4 Ir4'
_cell_length_a 5.860
_cell_length_b 5.860
_cell_length_c 5.860
_cell_angle_alpha 90.00
_cell_angle_beta 90.00
_cell_angle_gamma 90.00
_symmetry_space_group_name_H-M 'P 1'
_symmetry_Int_Tables_number 1
loop_
_symmetry_equiv_pos_as_xyz
'x,y,z'
loop_
_atom_site_label
_atom_site_fract_x
_atom_site_fract_y
_atom_site_fract_z
_atom_site_occupancy
Hf1 0.000 0.000 0.000 1
Hf2 0.000 0.500 0.500 1
Hf3 0.500 0.000 0.500 1
Hf4 0.500 0.500 0.000 1
B1 0.000 0.000 0.500 1
B2 0.000 0.500 0.000 1
B3 0.500 0.000 0.000 1
B4 0.500 0.500 0.500 1
Ir1 0.250 0.250 0.750 1
Ir2 0.250 0.750 0.250 1
Ir3 0.750 0.250 0.250 1
Ir4 0.750 0.750 0.750 1
```

***

## Q
DFT (PBE-GGA) results for a relaxed HfBIr crystal.

Properties
The calculation puts the magnetization at 0.001 μB per atom.

Cell and atoms, written as CIF:
```
data_HfBIr
_chemical_formula_sum 'Hf4 B4 Ir4'
_cell_length_a 5.930
_cell_length_b 5.930
_cell_length_c 5.930
_cell_angle_alpha 90.00
_cell_angle_beta 90.00
_cell_angle_gamma 90.00
_symmetry_space_group_name_H-M 'P 1'
_symmetry_Int_Tables_number 1
loop_
_symmetry_equiv_pos_as_xyz
'x,y,z'
loop_
_atom_site_label
_atom_site_fract_x
_atom_site_fract_y
_atom_site_fract_z
_atom_site_occupancy
Hf1 0.000 0.000 0.000 1
Hf2 0.000 0.500 0.500 1
Hf3 0.500 0.000 0.500 1
Hf4 0.500 0.500 0.000 1
B1 0.250 0.250 0.750 1
B2 0.250 0.750 0.250 1
B3 0.750 0.250 0.250 1
B4 0.750 0.750 0.750 1
Ir1 0.250 0.250 0.250 1
Ir2 0.250 0.750 0.750 1
Ir3 0.750 0.250 0.750 1
Ir4 0.750 0.750 0.250 1
```

***

Energies relative to the minimum, kJ/mol of atoms: P 0.0; Q 37.8

***

## P
DFT (PBE-GGA) results for a relaxed KHfB4 crystal.

Properties
The calculation puts the magnetization at 0.000 μB per atom.

Cell and atoms, written as CIF:
```
data_KHfB4
_chemical_formula_sum 'K1 Hf1 B4'
_cell_length_a 3.155
_cell_length_b 3.155
_cell_length_c 8.374
_cell_angle_alpha 90.00
_cell_angle_beta 90.00
_cell_angle_gamma 120.00
_symmetry_space_group_name_H-M 'P 1'
_symmetry_Int_Tables_number 1
loop_
_symmetry_equiv_pos_as_xyz
'x,y,z'
loop_
_atom_site_label
_atom_site_fract_x
_atom_site_fract_y
_atom_site_fract_z
_atom_site_occupancy
K1 0.000 0.000 0.000 1
Hf1 0.000 0.000 0.500 1
B1 0.333 0.667 0.299 1
B2 0.333 0.667 0.701 1
B3 0.667 0.333 0.299 1
B4 0.667 0.333 0.701 1
```

***

## Q
DFT (PBE-GGA) results for a relaxed KHfB4 crystal.

Properties
The calculation puts the magnetization at 0.000 μB per atom.

Cell and atoms, written as CIF:
```
data_KHfB4
_chemical_formula_sum 'K2 Hf2 B8'
_cell_length_a 3.084
_cell_length_b 5.815
_cell_length_c 7.792
_cell_angle_alpha 90.00
_cell_angle_beta 90.00
_cell_angle_gamma 90.00
_symmetry_space_group_name_H-M 'P 1'
_symmetry_Int_Tables_number 1
loop_
_symmetry_equiv_pos_as_xyz
'x,y,z'
loop_
_atom_site_label
_atom_site_fract_x
_atom_site_fract_y
_atom_site_fract_z
_atom_site_occupancy
K1 0.000 0.000 0.000 1
K2 0.500 0.500 0.500 1
Hf1 0.000 0.000 0.500 1
Hf2 0.500 0.500 0.000 1
B1 0.000 0.317 0.236 1
B2 0.000 0.317 0.764 1
B3 0.000 0.683 0.236 1
B4 0.000 0.683 0.764 1
B5 0.500 0.183 0.264 1
B6 0.500 0.183 0.736 1
B7 0.500 0.817 0.264 1
B8 0.500 0.817 0.736 1
```

***

Energies relative to the minimum, kJ/mol of atoms: P 0.0; Q 45.9

***

## P
DFT (PBE-GGA) results for a relaxed LiHfNiB crystal.

Properties
The calculation puts the magnetization at 0.001 μB per atom.

Cell and atoms, written as CIF:
```
data_LiHfNiB
_chemical_formula_sum 'Li4 Hf4 Ni4 B4'
_cell_length_a 5.673
_cell_length_b 5.673
_cell_length_c 5.673
_cell_angle_alpha 90.00
_cell_angle_beta 90.00
_cell_angle_gamma 90.00
_symmetry_space_group_name_H-M 'P 1'
_symmetry_Int_Tables_number 1
loop_
_symmetry_equiv_pos_as_xyz
'x,y,z'
loop_
_atom_site_label
_atom_site_fract_x
_atom_site_fract_y
_atom_site_fract_z
_atom_site_occupancy
Li1 0.000 0.000 0.000 1
Li2 0.000 0.500 0.500 1
Li3 0.500 0.000 0.500 1
Li4 0.500 0.500 0.000 1
Hf1 0.250 0.250 0.750 1
Hf2 0.250 0.750 0.250 1
Hf3 0.750 0.250 0.250 1
Hf4 0.750 0.750 0.750 1
Ni1 0.250 0.250 0.250 1
Ni2 0.250 0.750 0.750 1
Ni3 0.750 0.250 0.750 1
Ni4 0.750 0.750 0.250 1
B1 0.000 0.000 0.500 1
B2 0.000 0.500 0.000 1
B3 0.500 0.000 0.000 1
B4 0.500 0.500 0.500 1
```

***

## Q
DFT (PBE-GGA) results for a relaxed LiHfNiB crystal.

Properties
The calculation puts the magnetization at 0.000 μB per atom.

Cell and atoms, written as CIF:
```
data_LiHfNiB
_chemical_formula_sum 'Li4 Hf4 Ni4 B4'
_cell_length_a 5.698
_cell_length_b 5.698
_cell_length_c 5.698
_cell_angle_alpha 90.00
_cell_angle_beta 90.00
_cell_angle_gamma 90.00
_symmetry_space_group_name_H-M 'P 1'
_symmetry_Int_Tables_number 1
loop_
_symmetry_equiv_pos_as_xyz
'x,y,z'
loop_
_atom_site_label
_atom_site_fract_x
_atom_site_fract_y
_atom_site_fract_z
_atom_site_occupancy
Li1 0.000 0.000 0.000 1
Li2 0.000 0.500 0.500 1
Li3 0.500 0.000 0.500 1
Li4 0.500 0.500 0.000 1
Hf1 0.250 0.250 0.750 1
Hf2 0.250 0.750 0.250 1
Hf3 0.750 0.250 0.250 1
Hf4 0.750 0.750 0.750 1
Ni1 0.000 0.000 0.500 1
Ni2 0.000 0.500 0.000 1
Ni3 0.500 0.000 0.000 1
Ni4 0.500 0.500 0.500 1
B1 0.250 0.250 0.250 1
B2 0.250 0.750 0.750 1
B3 0.750 0.250 0.750 1
B4 0.750 0.750 0.250 1
```

***

Energies relative to the minimum, kJ/mol of atoms: P 0.0; Q 4.6

***

## P
DFT (PBE-GGA) results for a relaxed LiHfBPt crystal.

Properties
The calculation puts the magnetization at 0.000 μB per atom.

Cell and atoms, written as CIF:
```
data_LiHfBPt
_chemical_formula_sum 'Li4 Hf4 B4 Pt4'
_cell_length_a 6.005
_cell_length_b 6.005
_cell_length_c 6.005
_cell_angle_alpha 90.00
_cell_angle_beta 90.00
_cell_angle_gamma 90.00
_symmetry_space_group_name_H-M 'P 1'
_symmetry_Int_Tables_number 1
loop_
_symmetry_equiv_pos_as_xyz
'x,y,z'
loop_
_atom_site_label
_atom_site_fract_x
_atom_site_fract_y
_atom_site_fract_z
_atom_site_occupancy
Li1 0.000 0.000 0.000 1
Li2 0.000 0.500 0.500 1
Li3 0.500 0.000 0.500 1
Li4 0.500 0.500 0.000 1
Hf1 0.250 0.250 0.750 1
Hf2 0.250 0.750 0.250 1
Hf3 0.750 0.250 0.250 1
Hf4 0.750 0.750 0.750 1
B1 0.250 0.250 0.250 1
B2 0.250 0.750 0.750 1
B3 0.750 0.250 0.750 1
B4 0.750 0.750 0.250 1
Pt1 0.000 0.000 0.500 1
Pt2 0.000 0.500 0.000 1
Pt3 0.500 0.000 0.000 1
Pt4 0.500 0.500 0.500 1
```

***

## Q
DFT (PBE-GGA) results for a relaxed LiHfBPt crystal.

Properties
The calculation puts the magnetization at 0.000 μB per atom.

Cell and atoms, written as CIF:
```
data_LiHfBPt
_chemical_formula_sum 'Li4 Hf4 B4 Pt4'
_cell_length_a 5.864
_cell_length_b 5.864
_cell_length_c 5.864
_cell_angle_alpha 90.00
_cell_angle_beta 90.00
_cell_angle_gamma 90.00
_symmetry_space_group_name_H-M 'P 1'
_symmetry_Int_Tables_number 1
loop_
_symmetry_equiv_pos_as_xyz
'x,y,z'
loop_
_atom_site_label
_atom_site_fract_x
_atom_site_fract_y
_atom_site_fract_z
_atom_site_occupancy
Li1 0.000 0.000 0.000 1
Li2 0.000 0.500 0.500 1
Li3 0.500 0.000 0.500 1
Li4 0.500 0.500 0.000 1
Hf1 0.250 0.250 0.750 1
Hf2 0.250 0.750 0.250 1
Hf3 0.750 0.250 0.250 1
Hf4 0.750 0.750 0.750 1
B1 0.000 0.000 0.500 1
B2 0.000 0.500 0.000 1
B3 0.500 0.000 0.000 1
B4 0.500 0.500 0.500 1
Pt1 0.250 0.250 0.250 1
Pt2 0.250 0.750 0.750 1
Pt3 0.750 0.250 0.750 1
Pt4 0.750 0.750 0.250 1
```

***

## R
DFT (PBE-GGA) results for a relaxed LiHfBPt crystal.

Properties
The calculation puts the magnetization at 0.000 μB per atom.

Cell and atoms, written as CIF:
```
data_LiHfBPt
_chemical_formula_sum 'Li4 Hf4 B4 Pt4'
_cell_length_a 6.109
_cell_length_b 6.109
_cell_length_c 6.109
_cell_angle_alpha 90.00
_cell_angle_beta 90.00
_cell_angle_gamma 90.00
_symmetry_space_group_name_H-M 'P 1'
_symmetry_Int_Tables_number 1
loop_
_symmetry_equiv_pos_as_xyz
'x,y,z'
loop_
_atom_site_label
_atom_site_fract_x
_atom_site_fract_y
_atom_site_fract_z
_atom_site_occupancy
Li1 0.000 0.000 0.000 1
Li2 0.000 0.500 0.500 1
Li3 0.500 0.000 0.500 1
Li4 0.500 0.500 0.000 1
Hf1 0.000 0.000 0.500 1
Hf2 0.000 0.500 0.000 1
Hf3 0.500 0.000 0.000 1
Hf4 0.500 0.500 0.500 1
B1 0.250 0.250 0.750 1
B2 0.250 0.750 0.250 1
B3 0.750 0.250 0.250 1
B4 0.750 0.750 0.750 1
Pt1 0.250 0.250 0.250 1
Pt2 0.250 0.750 0.750 1
Pt3 0.750 0.250 0.750 1
Pt4 0.750 0.750 0.250 1
```

***

Energies relative to the minimum, kJ/mol of atoms: P 7.1; Q 0.0; R 9.8